(1)
First-principles (PBE) data for crystalline Er4TeP3 at its relaxed geometry, as listed in Alexandria via LeMat-Bulk.

Results
- density of states at the Fermi level (states/eV per atom) = 0.21
- DFT total energy (eV/atom) = -6.300
- magnetic moment (μB/f.u.) = 0.00
- volume (Å³ per cell) = 377.6
- formation energy from raw total energies (meV per atom) = -1597

a = 4.0341 Å, b = 4.0341 Å, c = 26.7940 Å
α = 90.00°, β = 90.00°, γ = 120.00°
Space group P6_3/mmc (No. 194)
Inequivalent atoms, fractional coordinates:
Er 0.0000 0.0000 0.1723 (multiplicity 4)
Er 0.3333 0.6667 0.0574 (multiplicity 4)
Te 0.3333 0.6667 0.2500 (multiplicity 2)
P 0.0000 0.0000 0.0000 (multiplicity 2)
P 0.3333 0.6667 0.6192 (multiplicity 4)


(2)
First-principles (PBE) data for crystalline TlTe2AsI at its relaxed geometry, as listed in Alexandria via LeMat-Bulk.

Results
- density of states at the Fermi level (states/eV per atom) = 1.34
- ΔE to the lowest computed polymorph (meV per atom) = 0
- DFT total energy (eV/atom) = -2.874
- magnetic moment (μB/f.u.) = 0.00
- volume (Å³ per cell) = 180.3
- formation energy from raw total energies (meV per atom) = 96

a = 5.559 Å, b = 5.559 Å, c = 5.835 Å
α = 90.00°, β = 90.00°, γ = 90.00°
Space group P4/mmm (No. 123)
Inequivalent atoms, fractional coordinates:
Tl 0.000 0.000 0.000 (multiplicity 1)
Te 0.000 0.500 0.500 (multiplicity 2)
As 0.500 0.500 0.500 (multiplicity 1)
I 0.500 0.500 0.000 (multiplicity 1)


(3)
First-principles (PBE) data for crystalline Zr3Ni at its relaxed geometry, as listed in Alexandria via LeMat-Bulk.

Results
- energy of formation (eV/f.u.) = 0.27
- density of states at the Fermi level (states/eV per atom) = 0.94
- DFT total energy (eV/atom) = -7.790
- magnetic moment (μB/f.u.) = 0.00
- volume (Å³ per cell) = 85.6

a = 3.100 Å, b = 3.183 Å, c = 8.682 Å
α = 90.00°, β = 90.00°, γ = 90.00°
Space group Pmm2 (No. 25)
Inequivalent atoms, fractional coordinates:
Zr 0.000 0.000 0.000 (multiplicity 1)
Zr 0.000 0.500 0.334 (multiplicity 1)
Zr 0.500 0.500 0.743 (multiplicity 1)
Ni 0.500 0.000 0.493 (multiplicity 1)


(4)
First-principles (PBE) data for crystalline SmGdEr2 at its relaxed geometry, as listed in Alexandria via LeMat-Bulk.

Results
- energy of formation (eV/f.u.) = 0.44
- density of states at the Fermi level (states/eV per atom) = 2.08
- ΔE to the lowest computed polymorph (meV per atom) = 85
- DFT total energy (eV/atom) = -6.871
- magnetic moment (μB/f.u.) = 7.87
- volume (Å³ per cell) = 514.2

a = 8.012 Å, b = 8.012 Å, c = 8.012 Å
α = 90.00°, β = 90.00°, γ = 90.00°
Space group Fm-3m (No. 225)
Inequivalent atoms, fractional coordinates:
Sm 0.000 0.000 0.000 (multiplicity 4)
Gd 0.000 0.000 0.500 (multiplicity 4)
Er 0.250 0.250 0.250 (multiplicity 8)


(5)
First-principles (PBE) data for crystalline Ho3TmCu at its relaxed geometry, as listed in Alexandria via LeMat-Bulk.

Results
- energy of formation (eV/f.u.) = -0.23
- density of states at the Fermi level (states/eV per atom) = 1.32
- DFT total energy (eV/atom) = -4.506
- magnetic moment (μB/f.u.) = 0.00
- volume (Å³ per cell) = 267.7

a = 6.505 Å, b = 5.170 Å, c = 8.054 Å
α = 90.00°, β = 98.76°, γ = 90.00°
Space group P2_1/m (No. 11)
Inequivalent atoms, fractional coordinates:
Ho 0.099 0.250 0.330 (multiplicity 2)
Ho 0.216 0.750 0.063 (multiplicity 2)
Ho 0.359 0.750 0.513 (multiplicity 2)
Tm 0.272 0.250 0.777 (multiplicity 2)
Cu 0.455 0.250 0.147 (multiplicity 2)


(6)
First-principles (PBE) data for crystalline BeTl3Ge at its relaxed geometry, as listed in Alexandria via LeMat-Bulk.

Results
- energy of formation (eV/f.u.) = 2.54
- density of states at the Fermi level (states/eV per atom) = 1.20
- DFT total energy (eV/atom) = -2.581
- magnetic moment (μB/f.u.) = 0.00
- volume (Å³ per cell) = 128.4

a = 5.045 Å, b = 5.045 Å, c = 5.045 Å
α = 90.00°, β = 90.00°, γ = 90.00°
Space group Pm-3m (No. 221)
Inequivalent atoms, fractional coordinates:
Be 0.000 0.000 0.000 (multiplicity 1)
Tl 0.000 0.000 0.500 (multiplicity 3)
Ge 0.500 0.500 0.500 (multiplicity 1)


(7)
First-principles (PBE) data for crystalline LiNdScSb at its relaxed geometry, as listed in Alexandria via LeMat-Bulk.

Results
- density of states at the Fermi level (states/eV per atom) = 1.16
- DFT total energy (eV/atom) = -4.715
- magnetic moment (μB/f.u.) = 0.00
- volume (Å³ per cell) = 384.5
- formation energy from raw total energies (meV per atom) = -431

a = 7.271 Å, b = 7.271 Å, c = 7.271 Å
α = 90.00°, β = 90.00°, γ = 90.00°
Space group F-43m (No. 216)
Inequivalent atoms, fractional coordinates:
Li 0.000 0.000 0.000 (multiplicity 4)
Nd 0.250 0.250 0.250 (multiplicity 4)
Sc 0.250 0.250 0.750 (multiplicity 4)
Sb 0.000 0.000 0.500 (multiplicity 4)


(8)
First-principles (PBE) data for crystalline PtAuIO2 at its relaxed geometry, as listed in Alexandria via LeMat-Bulk.

Results
- density of states at the Fermi level (states/eV per atom) = 1.23
- ΔE to the lowest computed polymorph (meV per atom) = 512
- DFT total energy (eV/atom) = -3.572
- magnetic moment (μB/f.u.) = 1.37
- volume (Å³ per cell) = 125.4
- formation energy from raw total energies (meV per atom) = 585

a = 3.886 Å, b = 3.886 Å, c = 8.301 Å
α = 90.00°, β = 90.00°, γ = 90.00°
Space group P4/mmm (No. 123)
Inequivalent atoms, fractional coordinates:
Pt 0.000 0.000 0.000 (multiplicity 1)
Au 0.500 0.500 0.500 (multiplicity 1)
I 0.500 0.500 0.000 (multiplicity 1)
O 0.000 0.500 0.500 (multiplicity 2)


Question: The lowest density of states at the Fermi level belongs to which entry?
Answer: Er4TeP3


Repeat the fourth record exactly.
First-principles (PBE) data for crystalline SmGdEr2 at its relaxed geometry, as listed in Alexandria via LeMat-Bulk.

Results
- energy of formation (eV/f.u.) = 0.44
- density of states at the Fermi level (states/eV per atom) = 2.08
- ΔE to the lowest computed polymorph (meV per atom) = 85
- DFT total energy (eV/atom) = -6.871
- magnetic moment (μB/f.u.) = 7.87
- volume (Å³ per cell) = 514.2

a = 8.012 Å, b = 8.012 Å, c = 8.012 Å
α = 90.00°, β = 90.00°, γ = 90.00°
Space group Fm-3m (No. 225)
Inequivalent atoms, fractional coordinates:
Sm 0.000 0.000 0.000 (multiplicity 4)
Gd 0.000 0.000 0.500 (multiplicity 4)
Er 0.250 0.250 0.250 (multiplicity 8)


Question: The lowest DFT total energy belongs to which entry?
Answer: Zr3Ni